# VPIr2F PBE+U optimized geometry
# Energy   -30.7 eV/cell
data_VPIr2F
_symmetry_space_group_name_H-M 'P 4/m m m'
_symmetry_Int_Tables_number 123
_symmetry_space_group_name_Hall '-P 4 2'
_cell_length_a 4.439
_cell_length_b 4.439
_cell_length_c 3.970
_cell_angle_alpha 90.00
_cell_angle_beta 90.00
_cell_angle_gamma 90.00
loop_
_atom_site_label
_atom_site_type_symbol
_atom_site_fract_x
_atom_site_fract_y
_atom_site_fract_z
V1 V 0.000 0.000 0.000
P1 P 0.500 0.500 0.500
Ir1 Ir 0.000 0.500 0.500
F1 F 0.500 0.500 0.000